Entry 1:
! VTePt3, relaxed, DFT PBE; values from VASP
! Symmetry = Pm-3m
! DOS at the Fermi energy = 9.05 states/eV per cell
! Total moment = 3.130 μB/cell
! Formation energy (no corrections) = 0.93 eV per atom
&SYSTEM
  ibrav = 0, nat = 5, ntyp = 3
/
ATOMIC_SPECIES
V 50.94 V.upf
Te 127.60 Te.upf
Pt 195.08 Pt.upf
CELL_PARAMETERS angstrom
4.9217 0.0000 0.0000
0.0000 4.9217 0.0000
0.0000 0.0000 4.9217
ATOMIC_POSITIONS crystal
V 0.0000 0.0000 0.0000
Te 0.5000 0.5000 0.5000
Pt 0.0000 0.5000 0.5000
Pt 0.5000 0.0000 0.5000
Pt 0.5000 0.5000 0.0000

Entry 2:
! V3TePt, relaxed, DFT PBE; values from VASP
! Symmetry = Pm-3m
! DOS at the Fermi energy = 6.00 states/eV per cell
! Total moment = 5.805 μB/cell
! Formation energy (no corrections) = 0.74 eV per atom
&SYSTEM
  ibrav = 0, nat = 5, ntyp = 3
/
ATOMIC_SPECIES
V 50.94 V.upf
Te 127.60 Te.upf
Pt 195.08 Pt.upf
CELL_PARAMETERS angstrom
4.7919 0.0000 0.0000
0.0000 4.7919 0.0000
0.0000 0.0000 4.7919
ATOMIC_POSITIONS crystal
V 0.0000 0.0000 0.5000
V 0.0000 0.5000 0.0000
V 0.5000 0.0000 0.0000
Te 0.5000 0.5000 0.5000
Pt 0.0000 0.0000 0.0000

Entry 3:
! VTePt3, relaxed, DFT PBE; values from VASP
! Symmetry = Pm-3m
! DOS at the Fermi energy = 4.08 states/eV per cell
! Total moment = 0.000 μB/cell
! Formation energy (no corrections) = 0.69 eV per atom
&SYSTEM
  ibrav = 0, nat = 5, ntyp = 3
/
ATOMIC_SPECIES
V 50.94 V.upf
Te 127.60 Te.upf
Pt 195.08 Pt.upf
CELL_PARAMETERS angstrom
4.6939 0.0000 0.0000
0.0000 4.6939 0.0000
0.0000 0.0000 4.6939
ATOMIC_POSITIONS crystal
V 0.0000 0.0000 0.0000
Te 0.5000 0.5000 0.5000
Pt 0.0000 0.0000 0.5000
Pt 0.0000 0.5000 0.0000
Pt 0.5000 0.0000 0.0000

Entry 4:
! VTe4Pt, relaxed, DFT PBE; values from VASP
! Symmetry = P1
! DOS at the Fermi energy = 2.83 states/eV per cell
! Total moment = 1.486 μB/cell
! Formation energy (no corrections) = -0.29 eV per atom
&SYSTEM
  ibrav = 0, nat = 6, ntyp = 3
/
ATOMIC_SPECIES
V 50.94 V.upf
Te 127.60 Te.upf
Pt 195.08 Pt.upf
CELL_PARAMETERS angstrom
3.8268 0.0000 0.0000
0.0038 6.8031 0.0000
1.9061 1.1649 6.4338
ATOMIC_POSITIONS crystal
V 0.0000 0.0000 0.0000
Te 0.1185 0.3746 0.7624
Te 0.3782 0.1315 0.2444
Te 0.6222 0.8698 0.7549
Te 0.8810 0.6263 0.2387
Pt 0.4999 0.5008 0.0003

Entry 5:
! V2TePt2, relaxed, DFT PBE; values from VASP
! Symmetry = P4/mbm
! DOS at the Fermi energy = 14.31 states/eV per cell
! Total moment = 7.642 μB/cell
! Formation energy (no corrections) = -0.10 eV per atom
&SYSTEM
  ibrav = 0, nat = 10, ntyp = 3
/
ATOMIC_SPECIES
V 50.94 V.upf
Te 127.60 Te.upf
Pt 195.08 Pt.upf
CELL_PARAMETERS angstrom
7.7359 0.0000 0.0000
0.0000 7.7359 0.0000
0.0000 0.0000 2.9049
ATOMIC_POSITIONS crystal
V 0.1631 0.3369 0.0000
V 0.3369 0.8369 0.0000
V 0.6631 0.1631 0.0000
V 0.8369 0.6631 0.0000
Te 0.0000 0.0000 0.5000
Te 0.5000 0.5000 0.5000
Pt 0.1287 0.6287 0.5000
Pt 0.3713 0.1287 0.5000
Pt 0.6287 0.8713 0.5000
Pt 0.8713 0.3713 0.5000

Entry 6:
! V2TePt, relaxed, DFT PBE; values from VASP
! Symmetry = I-42d
! DOS at the Fermi energy = 10.39 states/eV per cell
! Total moment = 7.551 μB/cell
! Formation energy (no corrections) = 0.38 eV per atom
&SYSTEM
  ibrav = 0, nat = 8, ntyp = 3
/
ATOMIC_SPECIES
V 50.94 V.upf
Te 127.60 Te.upf
Pt 195.08 Pt.upf
CELL_PARAMETERS angstrom
-3.0853 3.0853 5.2373
3.0853 -3.0853 5.2373
3.0853 3.0853 -5.2373
ATOMIC_POSITIONS crystal
V 0.0910 0.6250 0.9660
V 0.3750 0.3410 0.4660
V 0.6590 0.1250 0.0340
V 0.8750 0.9090 0.5340
Te 0.2500 0.7500 0.5000
Te 0.5000 0.5000 0.0000
Pt 0.0000 0.0000 0.0000
Pt 0.7500 0.2500 0.5000